Li2HfAl2Pd2Pt | OQMD | PBE | relaxed; ρ = 8.83 Mg/m³; space group = P-4m2, No. 115; calculated total energy = -5.2488 eV/atom
1.0
4.444 0.000 0.000
0.000 4.444 0.000
0.000 0.000 6.226
Li Hf Al Pd Pt
2 1 2 2 1
Direct
0.000 0.500 0.213
0.500 0.000 0.787
0.000 0.000 0.500
0.000 0.000 0.000
0.500 0.500 0.500
0.000 0.500 0.728
0.500 0.000 0.272
0.500 0.500 0.000

LaGdSn | OQMD | PBE | relaxed; ρ = 7.75 Mg/m³; space group = P6_3mc, No. 186; calculated total energy = -5.1469 eV/atom; energy above the most stable polymorph in this dataset = 0 meV/atom
1.0
5.538 0.000 0.000
-2.769 4.796 0.000
0.000 0.000 6.698
La Gd Sn
2 2 2
Direct
0.000 0.000 0.000
0.000 0.000 0.500
0.333 0.667 0.250
0.667 0.333 0.750
0.333 0.667 0.749
0.667 0.333 0.249

TaBe2Cd | OQMD | PBE | relaxed; ρ = 8.75 Mg/m³; space group = F-43m, No. 216; calculated total energy = -4.3102 eV/atom
1.0
0.000 3.091 3.091
3.091 0.000 3.091
3.091 3.091 0.000
Ta Be Cd
1 2 1
Direct
0.000 0.000 0.000
0.500 0.500 0.500
0.750 0.750 0.750
0.250 0.250 0.250

Tm2Ni15B9 | OQMD | PBE | relaxed; ρ = 8.44 Mg/m³; space group = Cmce, No. 64; calculated total energy = -6.2944 eV/atom
1.0
7.939 -5.800 0.000
7.939 5.800 0.000
0.000 0.000 11.246
Tm Ni B
8 60 36
Direct
0.190 0.310 0.250
0.240 0.760 0.958
0.260 0.740 0.458
0.310 0.190 0.750
0.690 0.810 0.250
0.740 0.260 0.542
0.760 0.240 0.042
0.810 0.690 0.750
0.000 0.000 0.000
0.000 0.000 0.500
0.004 0.228 0.883
0.009 0.184 0.660
0.011 0.831 0.807
0.029 0.757 0.597
0.053 0.607 0.915
0.070 0.430 0.750
0.107 0.553 0.415
0.136 0.337 0.530
0.163 0.364 0.970
0.169 0.989 0.807
0.184 0.009 0.340
0.228 0.004 0.117
0.234 0.766 0.212
0.243 0.971 0.597
0.257 0.529 0.097
0.266 0.734 0.712
0.272 0.496 0.617
0.316 0.491 0.840
0.331 0.511 0.307
0.337 0.136 0.470
0.364 0.163 0.030
0.393 0.947 0.915
0.430 0.070 0.250
0.447 0.893 0.415
0.471 0.743 0.097
0.489 0.669 0.307
0.491 0.316 0.160
0.496 0.272 0.383
0.500 0.500 0.000
0.500 0.500 0.500
0.504 0.728 0.617
0.509 0.684 0.840
0.511 0.331 0.693
0.529 0.257 0.903
0.553 0.107 0.585
0.570 0.930 0.750
0.607 0.053 0.085
0.636 0.837 0.970
0.663 0.864 0.530
0.669 0.489 0.693
0.684 0.509 0.160
0.728 0.504 0.383
0.734 0.266 0.288
0.743 0.471 0.903
0.757 0.029 0.403
0.766 0.234 0.788
0.772 0.996 0.883
0.816 0.991 0.660
0.831 0.011 0.193
0.837 0.636 0.030
0.864 0.663 0.470
0.893 0.447 0.585
0.930 0.570 0.250
0.947 0.393 0.085
0.971 0.243 0.403
0.989 0.169 0.193
0.991 0.816 0.340
0.996 0.772 0.117
0.046 0.954 0.672
0.049 0.550 0.100
0.050 0.549 0.600
0.057 0.943 0.199
0.095 0.202 0.051
0.121 0.621 0.244
0.121 0.621 0.744
0.135 0.135 0.500
0.202 0.095 0.949
0.298 0.405 0.449
0.365 0.365 0.000
0.379 0.879 0.244
0.379 0.879 0.744
0.405 0.298 0.551
0.443 0.557 0.699
0.450 0.951 0.100
0.451 0.950 0.600
0.454 0.546 0.172
0.546 0.454 0.828
0.549 0.050 0.400
0.550 0.049 0.900
0.557 0.443 0.301
0.595 0.702 0.449
0.621 0.121 0.256
0.621 0.121 0.756
0.635 0.635 0.000
0.702 0.595 0.551
0.798 0.905 0.051
0.865 0.865 0.500
0.879 0.379 0.256
0.879 0.379 0.756
0.905 0.798 0.949
0.943 0.057 0.801
0.950 0.451 0.400
0.951 0.450 0.900
0.954 0.046 0.328

TmCuSi | OQMD | PBE | relaxed; ρ = 7.86 Mg/m³; space group = F-43m, No. 216; calculated total energy = -5.0501 eV/atom
1.0
0.000 3.019 3.019
3.019 0.000 3.019
3.019 3.019 0.000
Tm Cu Si
1 1 1
Direct
0.000 0.000 0.000
0.750 0.750 0.750
0.500 0.500 0.500

BaNdNi | OQMD | PBE | relaxed; ρ = 6.20 Mg/m³; space group = F-43m, No. 216; calculated total energy = -3.2883 eV/atom
1.0
0.000 3.572 3.572
3.572 0.000 3.572
3.572 3.572 0.000
Ba Nd Ni
1 1 1
Direct
0.000 0.000 0.000
0.750 0.750 0.750
0.250 0.250 0.250

HoPPbO | OQMD | PBE | relaxed; ρ = 7.73 Mg/m³; space group = P4/nmm, No. 129; calculated total energy = -5.4641 eV/atom; energy above the most stable polymorph in this dataset = 624 meV/atom
1.0
4.631 0.000 0.000
0.000 4.631 0.000
0.000 0.000 8.395
Ho P Pb O
2 2 2 2
Direct
0.250 0.750 0.000
0.750 0.250 0.000
0.250 0.250 0.164
0.750 0.750 0.836
0.250 0.250 0.603
0.750 0.750 0.397
0.250 0.750 0.500
0.750 0.250 0.500

Na2CoNiAs2 | OQMD | PBE | relaxed; ρ = 4.92 Mg/m³; space group = P-4m2, No. 115; calculated total energy = -4.4478 eV/atom
1.0
3.981 0.000 0.000
0.000 3.981 0.000
0.000 0.000 6.670
Na Co Ni As
2 1 1 2
Direct
0.000 0.500 0.155
0.500 0.000 0.845
0.000 0.000 0.500
0.500 0.500 0.500
0.000 0.500 0.695
0.500 0.000 0.305

Y3Ga8Ag3 | OQMD | PBE | relaxed; ρ = 7.10 Mg/m³; space group = Immm, No. 71; calculated total energy = -4.1869 eV/atom
1.0
-2.166 4.770 6.494
2.166 -4.770 6.494
2.166 4.770 -6.494
Y Ga Ag
3 8 3
Direct
0.000 0.000 0.000
0.299 0.299 0.000
0.701 0.701 0.000
0.028 0.659 0.369
0.139 0.857 0.281
0.290 0.659 0.631
0.424 0.143 0.281
0.576 0.857 0.719
0.710 0.341 0.369
0.861 0.143 0.719
0.972 0.341 0.631
0.305 0.500 0.805
0.500 0.000 0.500
0.695 0.500 0.195

Dy2Ho2CI2Cl3 | OQMD | PBE | relaxed; ρ = 6.35 Mg/m³; space group = C2/m, No. 12; calculated total energy = -5.0659 eV/atom; energy above the most stable polymorph in this dataset = 0 meV/atom
1.0
9.152 -1.904 0.000
9.152 1.904 0.000
-1.563 0.000 7.713
Dy Ho C I Cl
2 2 1 2 3
Direct
0.001 0.001 0.291
0.999 0.999 0.709
0.367 0.367 0.428
0.633 0.633 0.572
0.500 0.500 0.500
0.173 0.173 0.302
0.827 0.827 0.698
0.151 0.151 0.823
0.500 0.500 0.000
0.849 0.849 0.177

Dy2Y3Ho3 | OQMD | PBE | relaxed; ρ = 7.08 Mg/m³; space group = P-6m2, No. 187; calculated total energy = -5.2866 eV/atom
1.0
7.236 0.000 0.000
-3.618 6.266 0.000
0.000 0.000 5.620
Dy Y Ho
2 3 3
Direct
0.000 0.000 0.000
0.333 0.667 0.500
0.334 0.167 0.500
0.833 0.167 0.500
0.833 0.666 0.500
0.000 0.500 0.000
0.500 0.000 0.000
0.500 0.500 0.000

Nd2GdNiSn3Ir2 | OQMD | PBE | relaxed; ρ = 10.52 Mg/m³; space group = Amm2, No. 38; calculated total energy = -6.2433 eV/atom
1.0
4.028 0.000 0.000
0.000 6.486 3.759
0.000 -6.486 3.759
Nd Gd Ni Sn Ir
2 1 1 3 2
Direct
0.000 0.205 0.795
0.000 0.795 0.205
0.000 0.385 0.385
0.000 0.791 0.791
0.500 0.044 0.044
0.500 0.546 0.793
0.500 0.793 0.546
0.500 0.132 0.459
0.500 0.459 0.132

- Which value of calculated total energy does entry 9 give?
  -4.1869 eV/atom

- Which of these has the lowest ρ?
  Na2CoNiAs2